No. 1
# Ba2MgHg, single point on PBEsol structure, DFT meta-GGA SCAN
# Fermi-level density of states: 0.73 states/eV/atom
# Energy above the lowest structure with this stoichiometry: 25 meV/atom
# Formation enthalpy at 0 K: -0.3444 eV/atom
data_Ba2MgHg
_chemical_formula_sum 'Ba2 Mg1 Hg1'
_space_group_name_H-M_alt 'P m m 2'
_space_group_IT_number 25
_cell_length_a 4.202
_cell_length_b 5.905
_cell_length_c 5.906
_cell_angle_alpha 90.00
_cell_angle_beta 90.00
_cell_angle_gamma 90.00
loop_
_space_group_symop_operation_xyz
'x,y,z'
'-x,-y,z'
'-x,y,z'
'x,-y,z'
loop_
_atom_site_label
_atom_site_type_symbol
_atom_site_fract_x
_atom_site_fract_y
_atom_site_fract_z
Ba1 Ba 0.000 0.000 0.000
Ba2 Ba 0.000 0.500 0.500
Mg1 Mg 0.500 0.000 0.499
Hg1 Hg 0.500 0.500 0.001

***

No. 2
# TcMo2Cl, single point on PBEsol structure, DFT meta-GGA SCAN
# Fermi-level density of states: 0.60 states/eV/atom
# E_form (uncorrected): 0.305 eV/atom
# Energy above the lowest structure with this stoichiometry: 0 meV/atom
data_TcMo2Cl
_chemical_formula_sum 'Tc3 Mo6 Cl3'
_space_group_name_H-M_alt 'R 3 m'
_space_group_IT_number 160
_space_group_name_Hall 'R 3 -2"'
_cell_length_a 2.8566
_cell_length_b 2.8566
_cell_length_c 25.5735
_cell_angle_alpha 90.00
_cell_angle_beta 90.00
_cell_angle_gamma 120.00
loop_
_atom_site_label
_atom_site_type_symbol
_atom_site_fract_x
_atom_site_fract_y
_atom_site_fract_z
Tc1 Tc 0.0000 0.0000 0.0000
Mo1 Mo 0.0000 0.0000 0.5020
Mo2 Mo 0.0000 0.0000 0.7450
Cl1 Cl 0.0000 0.0000 0.2429

***

No. 3
# LaIn2Ag, single point on PBEsol structure, DFT meta-GGA SCAN
# Fermi-level density of states: 0.34 states/eV/atom
# Formation enthalpy at 0 K: -0.4076 eV/atom
data_LaIn2Ag
_chemical_formula_sum 'La4 In8 Ag4'
_space_group_name_H-M_alt 'F -4 3 m'
_space_group_IT_number 216
_space_group_name_Hall 'F -4 2 3'
_cell_length_a 7.267
_cell_length_b 7.267
_cell_length_c 7.267
_cell_angle_alpha 90.00
_cell_angle_beta 90.00
_cell_angle_gamma 90.00
loop_
_atom_site_label
_atom_site_type_symbol
_atom_site_fract_x
_atom_site_fract_y
_atom_site_fract_z
La1 La 0.000 0.000 0.000
In1 In 0.000 0.000 0.500
In2 In 0.250 0.250 0.250
Ag1 Ag 0.250 0.250 0.750

***

No. 4
# BaLi2Mg2Ge2, single point on PBEsol structure, DFT meta-GGA SCAN
# Fermi-level density of states: 0.07 states/eV/atom
# Formation enthalpy at 0 K: -0.4700 eV/atom
data_BaLi2Mg2Ge2
_chemical_formula_sum 'Ba3 Li6 Mg6 Ge6'
_space_group_name_H-M_alt 'R -3 m'
_space_group_IT_number 166
_space_group_name_Hall '-R 3 2"'
_cell_length_a 4.5617
_cell_length_b 4.5617
_cell_length_c 25.9519
_cell_angle_alpha 90.00
_cell_angle_beta 90.00
_cell_angle_gamma 120.00
loop_
_atom_site_label
_atom_site_type_symbol
_atom_site_fract_x
_atom_site_fract_y
_atom_site_fract_z
Ba1 Ba 0.0000 0.0000 0.0000
Li1 Li 0.0000 0.0000 0.4301
Mg1 Mg 0.0000 0.0000 0.1360
Ge1 Ge 0.0000 0.0000 0.2437

***

No. 5
# CdCoTe2, single point on PBEsol structure, DFT meta-GGA SCAN
# Fermi-level density of states: 0.56 states/eV/atom
# E_form (uncorrected): 0.504 eV/atom
data_CdCoTe2
_chemical_formula_sum 'Cd2 Co2 Te4'
_space_group_name_H-M_alt 'C m m m'
_space_group_IT_number 65
_space_group_name_Hall '-C 2 2'
_cell_length_a 6.168
_cell_length_b 7.558
_cell_length_c 3.639
_cell_angle_alpha 90.00
_cell_angle_beta 90.00
_cell_angle_gamma 90.00
loop_
_atom_site_label
_atom_site_type_symbol
_atom_site_fract_x
_atom_site_fract_y
_atom_site_fract_z
Cd1 Cd 0.000 0.000 0.000
Co1 Co 0.000 0.500 0.000
Te1 Te 0.250 0.250 0.500

***

No. 6
# IrPdI2N, single point on PBEsol structure, DFT meta-GGA SCAN
# Fermi-level density of states: 0.70 states/eV/atom
# E_form (uncorrected): 1.486 eV/atom
# Energy above the lowest structure with this stoichiometry: 900 meV/atom
data_IrPdI2N
_chemical_formula_sum 'Ir1 Pd1 I2 N1'
_space_group_name_H-M_alt 'P 4/m m m'
_space_group_IT_number 123
_space_group_name_Hall '-P 4 2'
_cell_length_a 5.371
_cell_length_b 5.371
_cell_length_c 3.587
_cell_angle_alpha 90.00
_cell_angle_beta 90.00
_cell_angle_gamma 90.00
loop_
_atom_site_label
_atom_site_type_symbol
_atom_site_fract_x
_atom_site_fract_y
_atom_site_fract_z
Ir1 Ir 0.000 0.000 0.000
Pd1 Pd 0.500 0.500 0.500
I1 I 0.000 0.500 0.500
N1 N 0.500 0.500 0.000

***

| no. | DFT total energy (eV per atom) |
| --- | --- |
| 1 | -38.40 |
| 2 | -27.90 |
| 3 | -35.72 |
| 4 | -13.68 |
| 5 | -30.05 |
| 6 | -35.84 |